Rb2FeHBr PBE relaxed; VASP energy = -15.8 eV per cell; space group = P4/mmm
1.0
6.1784 0.0000 0.0000
0.0000 6.1784 0.0000
0.0000 0.0000 3.6427
Rb Fe H Br
2 1 1 1
Direct
0.0000 0.5000 0.0000 Rb
0.5000 0.0000 0.0000 Rb
0.0000 0.0000 0.5000 Fe
0.0000 0.0000 0.0000 H
0.5000 0.5000 0.5000 Br